#P
Here is a geometry-optimized La4Sm3Y2 structure from Alexandria. Energies are from PBE.

The space group is C2/m (No. 12) and the conventional cell measures 15.578, 5.211 and 8.158 Å, with angles of 90.00, 108.36 and 90.00 degrees. The distinct sites, in fractional coordinates, are La at (0.055, 0.000, 0.331), La at (0.224, 0.500, 0.334), Sm at (0.000, 0.500, 0.000), Sm at (0.112, 0.500, 0.669) and Y at (0.168, 0.000, 0.000).

---

#Q
Here is a geometry-optimized La4Sm3Y2 structure from Alexandria. Energies are from PBE.

The space group is C2/m (No. 12) and the conventional cell measures 11.434, 6.060 and 9.305 Å, with angles of 90.00, 101.93 and 90.00 degrees. The distinct sites, in fractional coordinates, are La at (0.161, 0.000, 0.006), La at (0.219, 0.500, 0.339), Sm at (0.000, 0.500, 0.000), Sm at (0.103, 0.500, 0.665) and Y at (0.049, 0.000, 0.336).

---

Pick #P: it beats the second-best structure by 0.078 eV/atom.